First-principles (GGA+U) data for an optimized crystal structure of Rb2Mn2F7, as listed in Alexandria via LeMat-Bulk.

Properties
Its total energy is -58.852 eV/cell. The volume comes out at 203.0 Å³/f.u.

Unit cell a=3.942 b=7.627 c=7.627 alpha=117.71 beta=89.98 gamma=89.98
Each line ends with the local moment (μB).
Fractional positions:
1 Rb 0.500 0.755 0.245  0.00
2 Rb 0.500 0.245 0.755  0.00
3 Mn 0.002 0.260 0.260  4.30
4 Mn 0.998 0.740 0.740  4.30
5 F 0.002 0.437 0.144  0.00
6 F 0.998 0.856 0.563  0.00
7 F 0.998 0.563 0.856  0.00
8 F 0.002 0.144 0.437  0.00
9 F 0.498 0.706 0.706  -0.01
10 F 0.000 0.000 0.000  0.08
11 F 0.502 0.294 0.294  -0.01